Density functional theory data (PBE) for crystalline Si2WBr at its relaxed geometry.

Lattice parameters (Å, degrees): 4.7939 4.7939 2.9351 90.00 90.00 106.30
With the nearest neighbours (Å) after each atom.
Positions (direct):
1 Si 0.0000 0.5000 0.0000  4 W 2.81, 4 Br 2.81, 4 Si 2.88-2.94
2 Si 0.5000 0.0000 0.0000  4 W 2.81, 4 Br 2.81, 4 Si 2.88-2.94
3 W 0.0000 0.0000 0.5000  8 Si 2.81, 2 Br 2.88, 2 W 2.94
4 Br 0.5000 0.5000 0.5000  8 Si 2.81, 2 W 2.88, 2 Br 2.94

Properties
Theoretical density in kg/m3: 8205
Uncorrected energy in eV/atom: -5.540
Total magnetization in μB per cell: 0.0
E above lowest polymorph in eV per atom: 0.5244
Formation energy from raw total energies in eV/atom: 0.828